(1)
LaMoN2O: optimized geometry, PBE with a Hubbard U.

a = 4.3447 Å, b = 4.3447 Å, c = 4.5416 Å
α = 90.00°, β = 90.00°, γ = 90.00°
Closest atoms and distances in Å follow each position.
Element x y z (fractional)
La 0.0000 0.0000 0.0000  4 N 2.17, 2 O 2.27
Mo 0.5000 0.5000 0.5000  4 O 3.07, 8 N 3.14
N 0.0000 0.5000 0.0000  2 La 2.17
N 0.5000 0.0000 0.0000  2 La 2.17
O 0.0000 0.0000 0.5000  2 La 2.27

Values from the calculation:
Its crystal system is tetragonal. As for the total DFT energy (no corrections): -29.9 eV per formula unit.

***

(2)
LaMoN2O: optimized geometry, PBE with a Hubbard U.

a = 4.0350 Å, b = 4.0350 Å, c = 3.9935 Å
α = 90.00°, β = 90.00°, γ = 90.00°
Closest atoms and distances in Å follow each position.
Element x y z (fractional)
La 0.0000 0.0000 0.0000  8 N 2.84, 4 O 2.85
Mo 0.5000 0.5000 0.5000  2 O 2.00, 4 N 2.02
N 0.0000 0.5000 0.5000  2 Mo 2.02
N 0.5000 0.0000 0.5000  2 Mo 2.02
O 0.5000 0.5000 0.0000  2 Mo 2.00

Values from the calculation:
Its crystal system is tetragonal. As for the total DFT energy (no corrections): -39.4 eV per formula unit.